Record 1
Here is a relaxed structure of LaFe from Alexandria. Energies are from PBE.

Values from the calculation:
Its space group is Fd-3m, No. 227. Its calculated total energy is -6.293 eV per atom. Its formation energy is 0.402 eV/atom.

Lattice parameters (Å, degrees): 4.896 4.896 4.896 60.00 60.00 60.00
Sites, in units of the cell vectors:
La 0.125 0.125 0.125
La 0.875 0.875 0.875
Fe 0.375 0.375 0.375
Fe 0.625 0.625 0.625

---

Record 2
Here is a relaxed structure of LaFe2 from Alexandria. Energies are from PBE.

Values from the calculation:
Its space group is Cmcm, No. 63. Its calculated total energy is -7.130 eV per atom. Its formation energy is 0.154 eV/atom.

Lattice parameters (Å, degrees): 7.909 7.909 4.099 90.00 90.00 152.96
Sites, in units of the cell vectors:
La 0.089 0.911 0.750
La 0.911 0.089 0.250
Fe 0.251 0.749 0.250
Fe 0.345 0.655 0.750
Fe 0.655 0.345 0.250
Fe 0.749 0.251 0.750

---

Record 3
Here is a relaxed structure of LaFe2 from Alexandria. Energies are from PBE.

Values from the calculation:
Its space group is Pa-3, No. 205. Its calculated total energy is -6.138 eV per atom. Its formation energy is 1.147 eV/atom.

Lattice parameters (Å, degrees): 6.375 6.375 6.375 90.00 90.00 90.00
Sites, in units of the cell vectors:
La 0.000 0.000 0.000
La 0.000 0.500 0.500
La 0.500 0.000 0.500
La 0.500 0.500 0.000
Fe 0.099 0.599 0.901
Fe 0.099 0.901 0.401
Fe 0.401 0.099 0.901
Fe 0.401 0.401 0.401
Fe 0.599 0.599 0.599
Fe 0.599 0.901 0.099
Fe 0.901 0.099 0.599
Fe 0.901 0.401 0.099

---

Record 4
Here is a relaxed structure of La2Fe3 from Alexandria. Energies are from PBE.

Values from the calculation:
Its space group is Fdd2, No. 43. Its calculated total energy is -6.921 eV per atom. Its formation energy is 0.127 eV/atom.

Lattice parameters (Å, degrees): 8.274 5.342 8.967 65.00 35.81 79.18
Sites, in units of the cell vectors:
La 0.219 0.781 0.376
La 0.626 0.874 0.469
La 0.781 0.219 0.624
La 0.874 0.626 0.031
Fe 0.220 0.313 0.027
Fe 0.223 0.809 0.030
Fe 0.232 0.232 0.768
Fe 0.313 0.220 0.441
Fe 0.482 0.482 0.018
Fe 0.809 0.223 0.937

---

Record 5
Here is a relaxed structure of LaFe from Alexandria. Energies are from PBE.

Values from the calculation:
Its space group is Fddd, No. 70. Its calculated total energy is -6.391 eV per atom. Its formation energy is 0.304 eV/atom.

Lattice parameters (Å, degrees): 8.230 7.484 5.317 78.00 62.81 39.19
Sites, in units of the cell vectors:
La 0.049 0.701 0.049
La 0.299 0.951 0.299
La 0.701 0.049 0.701
La 0.951 0.299 0.951
Fe 0.294 0.294 0.456
Fe 0.456 0.456 0.294
Fe 0.544 0.544 0.706
Fe 0.706 0.706 0.544

---

Record 6
Here is a relaxed structure of La3Fe from Alexandria. Energies are from PBE.

Values from the calculation:
Its space group is R-3m, No. 166. Its calculated total energy is -5.619 eV per atom. Its formation energy is 0.192 eV/atom.

Lattice parameters (Å, degrees): 9.845 9.845 9.845 22.74 22.74 22.74
Sites, in units of the cell vectors:
La 0.000 0.000 0.000
La 0.221 0.221 0.221
La 0.779 0.779 0.779
Fe 0.500 0.500 0.500